# K2MgNiF6, optimized geometry, DFT GGA+U
data_K2MgNiF6
_chemical_formula_sum 'K8 Mg4 Ni4 F24'
_cell_length_a 8.108
_cell_length_b 8.108
_cell_length_c 8.108
_cell_angle_alpha 90.00
_cell_angle_beta 90.00
_cell_angle_gamma 90.00
_symmetry_space_group_name_H-M 'F m -3 m'
_symmetry_Int_Tables_number 225
_symmetry_space_group_name_Hall '-F 4 2 3'
loop_
_atom_site_label
_atom_site_fract_x
_atom_site_fract_y
_atom_site_fract_z
_atom_site_occupancy
K1 0.250 0.250 0.250 1
Mg1 0.000 0.000 0.000 1
Ni1 0.000 0.000 0.500 1
F1 0.000 0.000 0.249 1
# DFT total energy in eV/cell: -185.9